# 1
# PbS PBE-GGA relaxed
# SG: No. 216
# Total moment in μB/cell: 0.00
# Energy relative to the elements, uncorrected in eV per atom: -0.357
# Electronic total energy in eV/cell: -34.20
data_PbS
_chemical_formula_sum 'Pb4 S4'
_space_group_name_H-M_alt 'P 1'
_space_group_IT_number 1
_cell_length_a 6.636
_cell_length_b 6.636
_cell_length_c 6.636
_cell_angle_alpha 90.00
_cell_angle_beta 90.00
_cell_angle_gamma 90.00
loop_
_space_group_symop_operation_xyz
'x,y,z'
loop_
_atom_site_label
_atom_site_type_symbol
_atom_site_fract_x
_atom_site_fract_y
_atom_site_fract_z
Pb1 Pb 0.000 0.500 0.500
S1 S 0.750 0.750 0.250
S2 S 0.750 0.250 0.750
Pb2 Pb 0.500 0.500 0.000
S3 S 0.250 0.750 0.750
S4 S 0.250 0.250 0.250
Pb3 Pb 0.000 0.000 0.000
Pb4 Pb 0.500 0.000 0.500

=====

# 2
# PbS PBE-GGA relaxed
# SG: No. 63
# Total moment in μB/cell: 0.00
# Energy relative to the elements, uncorrected in eV per atom: -0.501
# Electronic total energy in eV/cell: -17.68
data_PbS
_chemical_formula_sum 'Pb2 S2'
_space_group_name_H-M_alt 'P 1'
_space_group_IT_number 1
_cell_length_a 6.395
_cell_length_b 6.395
_cell_length_c 4.297
_cell_angle_alpha 90.00
_cell_angle_beta 90.00
_cell_angle_gamma 141.90
loop_
_space_group_symop_operation_xyz
'x,y,z'
loop_
_atom_site_label
_atom_site_type_symbol
_atom_site_fract_x
_atom_site_fract_y
_atom_site_fract_z
S1 S 0.356 0.644 0.250
Pb1 Pb 0.132 0.868 0.250
Pb2 Pb 0.868 0.132 0.750
S2 S 0.644 0.356 0.750

=====

# 3
# PbS PBE-GGA relaxed
# SG: No. 38
# Total moment in μB/cell: 0.00
# Energy relative to the elements, uncorrected in eV per atom: -0.377
# Electronic total energy in eV/cell: -34.36
data_PbS
_chemical_formula_sum 'Pb4 S4'
_space_group_name_H-M_alt 'P 1'
_space_group_IT_number 1
_cell_length_a 7.916
_cell_length_b 7.916
_cell_length_c 4.085
_cell_angle_alpha 90.00
_cell_angle_beta 90.00
_cell_angle_gamma 91.43
loop_
_space_group_symop_operation_xyz
'x,y,z'
loop_
_atom_site_label
_atom_site_type_symbol
_atom_site_fract_x
_atom_site_fract_y
_atom_site_fract_z
Pb1 Pb 0.827 0.827 0.000
S1 S 0.109 0.774 0.500
S2 S 0.774 0.109 0.500
Pb2 Pb 0.343 0.668 0.000
Pb3 Pb 0.139 0.139 0.500
S3 S 0.629 0.629 0.500
S4 S 0.316 0.316 0.000
Pb4 Pb 0.668 0.343 0.000

=====

# 4
# PbS PBE-GGA relaxed
# SG: No. 28
# Total moment in μB/cell: 0.00
# Energy relative to the elements, uncorrected in eV per atom: -0.370
# Electronic total energy in eV/cell: -34.30
data_PbS
_chemical_formula_sum 'Pb4 S4'
_space_group_name_H-M_alt 'P 1'
_space_group_IT_number 1
_cell_length_a 5.992
_cell_length_b 6.219
_cell_length_c 6.986
_cell_angle_alpha 90.00
_cell_angle_beta 90.00
_cell_angle_gamma 90.00
loop_
_space_group_symop_operation_xyz
'x,y,z'
loop_
_atom_site_label
_atom_site_type_symbol
_atom_site_fract_x
_atom_site_fract_y
_atom_site_fract_z
S1 S 0.000 0.864 0.000
S2 S 0.741 0.414 0.750
Pb1 Pb 0.833 0.544 0.250
S3 S 0.259 0.414 0.250
Pb2 Pb 0.318 0.998 0.250
Pb3 Pb 0.167 0.544 0.750
S4 S 0.000 0.864 0.500
Pb4 Pb 0.682 0.998 0.750

=====

# 5
# PbS5 PBE-GGA relaxed
# SG: No. 8
# Total moment in μB/cell: 0.00
# Energy relative to the elements, uncorrected in eV per atom: 0.082
# Electronic total energy in eV/cell: -23.85
data_PbS5
_chemical_formula_sum 'Pb1 S5'
_space_group_name_H-M_alt 'P 1'
_space_group_IT_number 1
_cell_length_a 5.069
_cell_length_b 5.342
_cell_length_c 7.529
_cell_angle_alpha 74.50
_cell_angle_beta 90.00
_cell_angle_gamma 118.33
loop_
_space_group_symop_operation_xyz
'x,y,z'
loop_
_atom_site_label
_atom_site_type_symbol
_atom_site_fract_x
_atom_site_fract_y
_atom_site_fract_z
S1 S 0.365 0.729 0.693
S2 S 0.679 0.358 0.357
S3 S 0.989 0.978 0.054
S4 S 0.591 0.182 0.655
Pb1 Pb 0.301 0.602 0.066
S5 S 0.909 0.817 0.343

=====

# 6
# PbS4 PBE-GGA relaxed
# SG: No. 221
# Energy above the lowest structure with this stoichiometry in eV per formula unit: 5.900
# Total moment in μB/cell: 4.47
# Energy relative to the elements, uncorrected in eV per atom: 1.139
# Electronic total energy in eV/cell: -14.52
data_PbS4
_chemical_formula_sum 'Pb1 S4'
_space_group_name_H-M_alt 'P 1'
_space_group_IT_number 1
_cell_length_a 5.274
_cell_length_b 5.274
_cell_length_c 5.274
_cell_angle_alpha 90.00
_cell_angle_beta 90.00
_cell_angle_gamma 90.00
loop_
_space_group_symop_operation_xyz
'x,y,z'
loop_
_atom_site_label
_atom_site_type_symbol
_atom_site_fract_x
_atom_site_fract_y
_atom_site_fract_z
S1 S 0.000 0.000 0.000
S2 S 0.000 0.500 0.500
Pb1 Pb 0.500 0.500 0.500
S3 S 0.500 0.500 0.000
S4 S 0.500 0.000 0.500

=====

# 7
# PbS PBE-GGA relaxed
# SG: No. 194
# Total moment in μB/cell: 0.00
# Energy relative to the elements, uncorrected in eV per atom: -0.464
# Electronic total energy in eV/cell: -17.53
data_PbS
_chemical_formula_sum 'Pb2 S2'
_space_group_name_H-M_alt 'P 1'
_space_group_IT_number 1
_cell_length_a 5.024
_cell_length_b 5.024
_cell_length_c 6.006
_cell_angle_alpha 90.00
_cell_angle_beta 90.00
_cell_angle_gamma 120.00
loop_
_space_group_symop_operation_xyz
'x,y,z'
loop_
_atom_site_label
_atom_site_type_symbol
_atom_site_fract_x
_atom_site_fract_y
_atom_site_fract_z
Pb1 Pb 0.667 0.333 0.250
S1 S 0.667 0.333 0.750
S2 S 0.333 0.667 0.250
Pb2 Pb 0.333 0.667 0.750

=====

# 8
# PbS PBE-GGA relaxed
# SG: No. 11
# Total moment in μB/cell: 0.00
# Energy relative to the elements, uncorrected in eV per atom: -0.460
# Electronic total energy in eV/cell: -35.03
data_PbS
_chemical_formula_sum 'Pb4 S4'
_space_group_name_H-M_alt 'P 1'
_space_group_IT_number 1
_cell_length_a 4.066
_cell_length_b 5.983
_cell_length_c 10.112
_cell_angle_alpha 86.53
_cell_angle_beta 90.00
_cell_angle_gamma 90.00
loop_
_space_group_symop_operation_xyz
'x,y,z'
loop_
_atom_site_label
_atom_site_type_symbol
_atom_site_fract_x
_atom_site_fract_y
_atom_site_fract_z
S1 S 0.750 0.745 0.090
Pb1 Pb 0.750 0.234 0.098
Pb2 Pb 0.750 0.774 0.385
Pb3 Pb 0.250 0.766 0.902
S2 S 0.250 0.072 0.342
S3 S 0.750 0.928 0.658
Pb4 Pb 0.250 0.226 0.615
S4 S 0.250 0.255 0.910